No. 1
# LiMnPO4, optimized geometry, DFT GGA-PBEsol
data_LiMnPO4
_space_group_name_H-M_alt 'P 1'
_space_group_IT_number 1
_cell_length_a 5.451
_cell_length_b 5.451
_cell_length_c 6.262
_cell_angle_alpha 103.74
_cell_angle_beta 103.74
_cell_angle_gamma 117.03
loop_
_space_group_symop_operation_xyz
'x,y,z'
loop_
_atom_site_label
_atom_site_type_symbol
_atom_site_fract_x
_atom_site_fract_y
_atom_site_fract_z
O1 O 0.048 0.503 0.845
O2 O 0.497 0.952 0.155
P1 P 0.380 0.620 0.000
Li1 Li 0.684 0.316 0.000
O3 O 0.989 0.535 0.351
Mn1 Mn 0.062 0.938 0.000
O4 O 0.465 0.011 0.649
O5 O 0.565 0.611 0.851
Li2 Li 0.434 0.566 0.500
P2 P 0.130 0.870 0.500
O6 O 0.092 0.047 0.345
Mn2 Mn 0.812 0.188 0.500
O7 O 0.953 0.908 0.655
O8 O 0.389 0.435 0.149
# energy above the lowest structure with this stoichiometry: 2.3 kJ/mol of atoms
# SG: Fdd2
# E_tot: -52.9 eV/f.u.



No. 2
# ReSi2Pt, optimized geometry, DFT GGA-PBEsol
data_ReSi2Pt
_space_group_name_H-M_alt 'P 1'
_space_group_IT_number 1
_cell_length_a 2.863
_cell_length_b 2.863
_cell_length_c 7.867
_cell_angle_alpha 90.00
_cell_angle_beta 90.00
_cell_angle_gamma 117.74
loop_
_space_group_symop_operation_xyz
'x,y,z'
loop_
_atom_site_label
_atom_site_type_symbol
_atom_site_fract_x
_atom_site_fract_y
_atom_site_fract_z
Pt1 Pt 0.500 0.500 0.500
Si1 Si 0.000 0.000 0.244
Si2 Si 0.000 0.000 0.756
Re1 Re 0.500 0.500 0.000
# energy above the lowest structure with this stoichiometry: 0.0 kJ/mol of atoms
# SG: Cmmm
# E_tot: -31.9 eV/f.u.



No. 3
# Na2SrMnPt, optimized geometry, DFT GGA-PBEsol
data_Na2SrMnPt
_space_group_name_H-M_alt 'P 1'
_space_group_IT_number 1
_cell_length_a 5.388
_cell_length_b 5.388
_cell_length_c 5.629
_cell_angle_alpha 90.00
_cell_angle_beta 90.00
_cell_angle_gamma 90.00
loop_
_space_group_symop_operation_xyz
'x,y,z'
loop_
_atom_site_label
_atom_site_type_symbol
_atom_site_fract_x
_atom_site_fract_y
_atom_site_fract_z
Na1 Na 0.500 0.000 0.000
Sr1 Sr 0.000 0.000 0.500
Mn1 Mn 0.500 0.500 0.500
Pt1 Pt 0.000 0.000 0.000
Na2 Na 0.000 0.500 0.000
# energy of formation: 2.82 eV/f.u.
# SG: P4/mmm
# E_tot: -18.5 eV/f.u.



No. 4
# K2TiAu2, optimized geometry, DFT GGA-PBEsol
data_K2TiAu2
_space_group_name_H-M_alt 'P 1'
_space_group_IT_number 1
_cell_length_a 4.034
_cell_length_b 4.034
_cell_length_c 7.985
_cell_angle_alpha 104.63
_cell_angle_beta 104.63
_cell_angle_gamma 90.00
loop_
_space_group_symop_operation_xyz
'x,y,z'
loop_
_atom_site_label
_atom_site_type_symbol
_atom_site_fract_x
_atom_site_fract_y
_atom_site_fract_z
Au1 Au 0.413 0.413 0.826
Ti1 Ti 0.000 0.000 0.000
K1 K 0.750 0.250 0.500
K2 K 0.250 0.750 0.500
Au2 Au 0.587 0.587 0.174
# energy of formation: 2.63 eV/f.u.
# SG: I4/mmm
# E_tot: -15.8 eV/f.u.



Q: Which formula does entry 1 have?
A: LiMnPO4



Q: What is the E_tot in the second record?
A: -31.9 eV/f.u.